# 1
Material: SmZn4Cu
Method: DFT, PBE-GGA
State: optimized geometry

Cell lengths 5.2868, 5.2868, 5.2868 Å; angles 60.00, 60.00, 60.00 degrees
Fractional positions:
Sm  0.0000  0.0000  0.0000
Zn  0.3754  0.3754  0.3754
Zn  0.3754  0.3754  0.8737
Zn  0.3754  0.8737  0.3754
Zn  0.8737  0.3754  0.3754
Cu  0.7500  0.7500  0.7500

The calculation puts the formation energy from the elements at -0.10 eV/atom. The value obtained for the excess energy over the best structure of this formula in the dataset is 0.133 eV per atom. As for the uncorrected energy: -2.4154 eV/atom.

# 2
Material: Sm3Zn4Cu2
Method: DFT, PBE-GGA
State: optimized geometry

Cell lengths 5.3989, 5.3989, 8.6690 Å; angles 102.86, 102.86, 49.51 degrees
Fractional positions:
Sm  0.0000  0.0000  0.0000
Sm  0.3737  0.3737  0.3036
Sm  0.6263  0.6263  0.6964
Zn  0.1003  0.1003  0.4221
Zn  0.2847  0.2847  0.9308
Zn  0.7153  0.7153  0.0692
Zn  0.8997  0.8997  0.5779
Cu  0.3264  0.3264  0.6617
Cu  0.6736  0.6736  0.3383

The calculation puts the formation energy from the elements at -0.29 eV/atom. The value obtained for the excess energy over the best structure of this formula in the dataset is 0.019 eV per atom. As for the uncorrected energy: -3.3346 eV/atom.

# 3
Material: Sm3Zn2Cu3
Method: DFT, PBE-GGA
State: optimized geometry

Cell lengths 7.8018, 15.3019, 5.5905 Å; angles 90.00, 90.00, 90.00 degrees
Fractional positions:
Sm  0.0440  0.1042  0.1441
Sm  0.0440  0.3958  0.1441
Sm  0.1785  0.2500  0.6183
Sm  0.3215  0.7500  0.1183
Sm  0.4560  0.6042  0.6441
Sm  0.4560  0.8958  0.6441
Sm  0.5440  0.1042  0.3559
Sm  0.5440  0.3958  0.3559
Sm  0.6785  0.2500  0.8817
Sm  0.8215  0.7500  0.3817
Sm  0.9560  0.6042  0.8559
Sm  0.9560  0.8958  0.8559
Zn  0.1128  0.6033  0.3627
Zn  0.1128  0.8967  0.3627
Zn  0.3872  0.1033  0.8627
Zn  0.3872  0.3967  0.8627
Zn  0.6128  0.6033  0.1373
Zn  0.6128  0.8967  0.1373
Zn  0.8872  0.1033  0.6373
Zn  0.8872  0.3967  0.6373
Cu  0.1764  0.7500  0.6071
Cu  0.1783  0.0358  0.5967
Cu  0.1783  0.4642  0.5967
Cu  0.3217  0.5358  0.0967
Cu  0.3217  0.9642  0.0967
Cu  0.3236  0.2500  0.1071
Cu  0.6764  0.7500  0.8929
Cu  0.6783  0.0358  0.9033
Cu  0.6783  0.4642  0.9033
Cu  0.8217  0.5358  0.4033
Cu  0.8217  0.9642  0.4033
Cu  0.8236  0.2500  0.3929

The calculation puts the formation energy from the elements at -0.24 eV/atom. The value obtained for the excess energy over the best structure of this formula in the dataset is 0.026 eV per atom. As for the uncorrected energy: -3.8627 eV/atom.

# 4
Material: SmZn4Cu8
Method: DFT, PBE-GGA
State: optimized geometry

Cell lengths 6.6100, 6.6100, 6.6100 Å; angles 97.99, 97.99, 136.21 degrees
Fractional positions:
Sm  0.0000  0.0000  0.0000
Zn  0.0000  0.0000  0.5000
Zn  0.0000  0.5000  0.0000
Zn  0.5000  0.0000  0.0000
Zn  0.5000  0.5000  0.5000
Cu  0.0000  0.3567  0.3567
Cu  0.0000  0.6433  0.6433
Cu  0.2786  0.5000  0.7786
Cu  0.3567  0.0000  0.3567
Cu  0.5000  0.2786  0.7786
Cu  0.5000  0.7214  0.2214
Cu  0.6433  0.0000  0.6433
Cu  0.7214  0.5000  0.2214

The calculation puts the formation energy from the elements at -0.12 eV/atom. As for the uncorrected energy: -3.3950 eV/atom.

# 5
Material: SmZn3Cu2
Method: DFT, PBE-GGA
State: optimized geometry

Cell lengths 6.3327, 6.3327, 5.1368 Å; angles 90.00, 90.00, 81.22 degrees
Fractional positions:
Sm  0.1626  0.8374  0.7500
Sm  0.8374  0.1626  0.2500
Zn  0.0487  0.5941  0.2500
Zn  0.4059  0.9513  0.2500
Zn  0.4538  0.5462  0.2500
Zn  0.5462  0.4538  0.7500
Zn  0.5941  0.0487  0.7500
Zn  0.9513  0.4059  0.7500
Cu  0.2758  0.2758  0.0000
Cu  0.2758  0.2758  0.5000
Cu  0.7242  0.7242  0.0000
Cu  0.7242  0.7242  0.5000

The calculation puts the formation energy from the elements at -0.24 eV/atom. As for the uncorrected energy: -3.0279 eV/atom.

# 6
Material: Sm3Zn2Cu7
Method: DFT, PBE-GGA
State: optimized geometry

Cell lengths 8.9139, 8.9139, 8.9139 Å; angles 34.54, 34.54, 34.54 degrees
Fractional positions:
Sm  0.0000  0.0000  0.0000
Sm  0.1412  0.1412  0.1412
Sm  0.8588  0.8588  0.8588
Zn  0.3321  0.3321  0.3321
Zn  0.6679  0.6679  0.6679
Cu  0.0843  0.5810  0.5810
Cu  0.4190  0.4190  0.9157
Cu  0.4190  0.9157  0.4190
Cu  0.5000  0.5000  0.5000
Cu  0.5810  0.0843  0.5810
Cu  0.5810  0.5810  0.0843
Cu  0.9157  0.4190  0.4190

The calculation puts the formation energy from the elements at -0.21 eV/atom. As for the uncorrected energy: -3.9869 eV/atom.

# 7
Material: Sm3Zn2Cu9
Method: DFT, PBE-GGA
State: optimized geometry

Cell lengths 7.9606, 7.9606, 7.9606 Å; angles 149.21, 112.44, 76.06 degrees
Fractional positions:
Sm  0.0000  0.0000  0.0000
Sm  0.2992  0.2992  0.0000
Sm  0.7008  0.7008  0.0000
Zn  0.2979  0.5000  0.7979
Zn  0.7021  0.5000  0.2021
Cu  0.0259  0.6695  0.3565
Cu  0.1576  0.8741  0.2835
Cu  0.3130  0.6695  0.6435
Cu  0.4094  0.1259  0.2835
Cu  0.5000  0.0000  0.5000
Cu  0.5906  0.8741  0.7165
Cu  0.6870  0.3305  0.3565
Cu  0.8424  0.1259  0.7165
Cu  0.9741  0.3305  0.6435

The calculation puts the formation energy from the elements at -0.21 eV/atom. As for the uncorrected energy: -4.0321 eV/atom.

# 8
Material: SmZnCu2
Method: DFT, PBE-GGA
State: optimized geometry

Cell lengths 6.9832, 4.2306, 9.5569 Å; angles 90.00, 90.00, 90.00 degrees
Fractional positions:
Sm  0.2206  0.2500  0.1778
Sm  0.2794  0.7500  0.6778
Sm  0.7206  0.2500  0.3222
Sm  0.7794  0.7500  0.8222
Zn  0.0511  0.7500  0.3953
Zn  0.4489  0.2500  0.8953
Zn  0.5511  0.7500  0.1047
Zn  0.9489  0.2500  0.6047
Cu  0.0759  0.2500  0.8767
Cu  0.2346  0.7500  0.9684
Cu  0.2654  0.2500  0.4684
Cu  0.4241  0.7500  0.3767
Cu  0.5759  0.2500  0.6233
Cu  0.7346  0.7500  0.5316
Cu  0.7654  0.2500  0.0316
Cu  0.9241  0.7500  0.1233

The calculation puts the formation energy from the elements at -0.25 eV/atom. As for the uncorrected energy: -3.7987 eV/atom.

# 9
Material: Sm4Zn3Cu
Method: DFT, PBE-GGA
State: optimized geometry

Cell lengths 3.6244, 3.6244, 14.4515 Å; angles 90.00, 90.00, 90.00 degrees
Fractional positions:
Sm  0.0000  0.0000  0.1212
Sm  0.0000  0.0000  0.3734
Sm  0.0000  0.0000  0.6266
Sm  0.0000  0.0000  0.8788
Zn  0.5000  0.5000  0.2485
Zn  0.5000  0.5000  0.5000
Zn  0.5000  0.5000  0.7515
Cu  0.5000  0.5000  0.0000

The calculation puts the formation energy from the elements at -0.28 eV/atom. The value obtained for the excess energy over the best structure of this formula in the dataset is 0.000 eV per atom. As for the uncorrected energy: -3.6300 eV/atom.

# 10
Material: Sm2Zn5Cu5
Method: DFT, PBE-GGA
State: optimized geometry

Cell lengths 4.0460, 5.2774, 9.2731 Å; angles 90.00, 90.00, 90.00 degrees
Fractional positions:
Sm  0.0000  0.0000  0.0000
Sm  0.0000  0.5000  0.5000
Zn  0.0000  0.0000  0.3258
Zn  0.0000  0.0000  0.6742
Zn  0.0000  0.5000  0.1666
Zn  0.0000  0.5000  0.8334
Zn  0.5000  0.0000  0.5000
Cu  0.5000  0.2523  0.2486
Cu  0.5000  0.2523  0.7514
Cu  0.5000  0.5000  0.0000
Cu  0.5000  0.7477  0.2486
Cu  0.5000  0.7477  0.7514

The calculation puts the formation energy from the elements at -0.25 eV/atom. As for the uncorrected energy: -3.2746 eV/atom.

# 11
Material: Sm6ZnCu5
Method: DFT, PBE-GGA
State: optimized geometry

Cell lengths 7.9815, 7.9815, 7.1041 Å; angles 90.00, 90.00, 143.13 degrees
Fractional positions:
Sm  0.0000  0.0000  0.2440
Sm  0.0000  0.0000  0.7560
Sm  0.3312  0.6688  0.2485
Sm  0.3312  0.6688  0.7515
Sm  0.6688  0.3312  0.2485
Sm  0.6688  0.3312  0.7515
Zn  0.5000  0.5000  0.5000
Cu  0.1604  0.8396  0.5000
Cu  0.1665  0.8335  0.0000
Cu  0.5000  0.5000  0.0000
Cu  0.8335  0.1665  0.0000
Cu  0.8396  0.1604  0.5000

The calculation puts the formation energy from the elements at -0.20 eV/atom. As for the uncorrected energy: -4.3747 eV/atom.

# 12
Material: Sm4Zn3Cu
Method: DFT, PBE-GGA
State: optimized geometry

Cell lengths 3.6464, 4.5110, 11.7208 Å; angles 90.00, 90.00, 90.00 degrees
Fractional positions:
Sm  0.0000  0.0000  0.0000
Sm  0.0000  0.5000  0.2937
Sm  0.5000  0.0000  0.4909
Sm  0.5000  0.5000  0.8001
Zn  0.0000  0.0000  0.7110
Zn  0.0000  0.5000  0.5793
Zn  0.5000  0.5000  0.0822
Cu  0.5000  0.0000  0.2115

The calculation puts the formation energy from the elements at -0.24 eV/atom. The value obtained for the excess energy over the best structure of this formula in the dataset is 0.036 eV per atom. As for the uncorrected energy: -3.5941 eV/atom.

# 13
Material: SmZn10Cu2
Method: DFT, PBE-GGA
State: optimized geometry

Cell lengths 8.9966, 6.8467, 6.8150 Å; angles 82.37, 48.96, 48.66 degrees
Fractional positions:
Sm  0.0000  0.0000  0.0000
Zn  0.0000  0.5000  0.0000
Zn  0.0086  0.6475  0.3525
Zn  0.2811  0.5054  0.4946
Zn  0.3525  0.9914  0.0086
Zn  0.4946  0.7189  0.2811
Zn  0.5000  0.0000  0.5000
Zn  0.5054  0.2811  0.7189
Zn  0.6475  0.0086  0.9914
Zn  0.7189  0.4946  0.5054
Zn  0.9914  0.3525  0.6475
Cu  0.0000  0.0000  0.5000
Cu  0.5000  0.5000  0.0000

The calculation puts the formation energy from the elements at -0.19 eV/atom. As for the uncorrected energy: -2.1676 eV/atom.

# 14
Material: Sm2Zn2Cu15
Method: DFT, PBE-GGA
State: optimized geometry

Cell lengths 6.5324, 6.5324, 6.5324 Å; angles 82.72, 82.72, 82.72 degrees
Fractional positions:
Sm  0.1525  0.1525  0.1525
Sm  0.8475  0.8475  0.8475
Zn  0.3987  0.3987  0.3987
Zn  0.6013  0.6013  0.6013
Cu  0.0000  0.5000  0.5000
Cu  0.1539  0.1539  0.6540
Cu  0.1539  0.6540  0.1539
Cu  0.2024  0.5000  0.7976
Cu  0.2024  0.7976  0.5000
Cu  0.3460  0.8461  0.8461
Cu  0.5000  0.0000  0.5000
Cu  0.5000  0.2024  0.7976
Cu  0.5000  0.5000  0.0000
Cu  0.5000  0.7976  0.2024
Cu  0.6540  0.1539  0.1539
Cu  0.7976  0.2024  0.5000
Cu  0.7976  0.5000  0.2024
Cu  0.8461  0.3460  0.8461
Cu  0.8461  0.8461  0.3460

The calculation puts the formation energy from the elements at -0.14 eV/atom. As for the uncorrected energy: -4.0001 eV/atom.

# 15
Material: SmZn3Cu
Method: DFT, PBE-GGA
State: optimized geometry

Cell lengths 4.6038, 4.6038, 4.6038 Å; angles 90.00, 90.00, 90.00 degrees
Fractional positions:
Sm  0.0000  0.0000  0.0000
Zn  0.0000  0.5000  0.5000
Zn  0.5000  0.0000  0.5000
Zn  0.5000  0.5000  0.0000
Cu  0.5000  0.5000  0.5000

The calculation puts the formation energy from the elements at -0.10 eV/atom. The value obtained for the excess energy over the best structure of this formula in the dataset is 0.171 eV per atom. As for the uncorrected energy: -2.6305 eV/atom.

# 16
Material: SmZrZnCu
Method: DFT, PBE-GGA
State: optimized geometry

Cell lengths 4.8874, 4.8874, 4.8874 Å; angles 60.00, 60.00, 60.00 degrees
Fractional positions:
Sm  0.0000  0.0000  0.0000
Zr  0.5000  0.5000  0.5000
Zn  0.7500  0.7500  0.7500
Cu  0.2500  0.2500  0.2500

The calculation puts the formation energy from the elements at -0.11 eV/atom. As for the uncorrected energy: -4.7736 eV/atom.

# 17
Material: SmZrCu2
Method: DFT, PBE-GGA
State: optimized geometry

Cell lengths 4.8233, 4.8233, 4.8233 Å; angles 60.00, 60.00, 60.00 degrees
Fractional positions:
Sm  0.0000  0.0000  0.0000
Zr  0.5000  0.5000  0.5000
Cu  0.2500  0.2500  0.2500
Cu  0.7500  0.7500  0.7500

The calculation puts the formation energy from the elements at -0.05 eV/atom. The value obtained for the excess energy over the best structure of this formula in the dataset is 0.066 eV per atom. As for the uncorrected energy: -5.4144 eV/atom.

# 18
Material: SmZrCu2
Method: DFT, PBE-GGA
State: optimized geometry

Cell lengths 3.3912, 3.3912, 6.9055 Å; angles 90.00, 90.00, 90.00 degrees
Fractional positions:
Sm  0.0000  0.0000  0.0000
Zr  0.0000  0.0000  0.5000
Cu  0.5000  0.5000  0.2908
Cu  0.5000  0.5000  0.7092

The calculation puts the formation energy from the elements at -0.12 eV/atom. The value obtained for the excess energy over the best structure of this formula in the dataset is 0.000 eV per atom. As for the uncorrected energy: -5.4809 eV/atom.

# 19
Material: SmZr2Cu
Method: DFT, PBE-GGA
State: optimized geometry

Cell lengths 3.3315, 3.3315, 8.0234 Å; angles 90.00, 90.00, 90.00 degrees
Fractional positions:
Sm  0.0000  0.0000  0.0000
Zr  0.5000  0.5000  0.2988
Zr  0.5000  0.5000  0.7012
Cu  0.0000  0.0000  0.5000

The calculation puts the formation energy from the elements at 0.04 eV/atom. The value obtained for the excess energy over the best structure of this formula in the dataset is 0.000 eV per atom. As for the uncorrected energy: -6.4403 eV/atom.

# 20
Material: SmZrCu
Method: DFT, PBE-GGA
State: optimized geometry

Cell lengths 6.3828, 6.3828, 6.3828 Å; angles 149.22, 149.22, 44.08 degrees
Fractional positions:
Sm  0.0000  0.0000  0.0000
Zr  0.2987  0.2987  0.0000
Cu  0.6779  0.6779  0.0000

The calculation puts the formation energy from the elements at -0.04 eV/atom. The value obtained for the excess energy over the best structure of this formula in the dataset is 0.046 eV per atom. As for the uncorrected energy: -5.8236 eV/atom.

# 21
Material: Sm2ZrCu
Method: DFT, PBE-GGA
State: optimized geometry

Cell lengths 11.2195, 11.2195, 11.2195 Å; angles 16.80, 16.80, 16.80 degrees
Fractional positions:
Sm  0.0974  0.0974  0.0974
Sm  0.9026  0.9026  0.9026
Zr  0.0000  0.0000  0.0000
Cu  0.5000  0.5000  0.5000

The calculation puts the formation energy from the elements at 0.38 eV/atom. The value obtained for the excess energy over the best structure of this formula in the dataset is 0.390 eV per atom. As for the uncorrected energy: -5.1448 eV/atom.

# 22
Material: Sm2ZrCu
Method: DFT, PBE-GGA
State: optimized geometry

Cell lengths 3.4580, 3.4580, 8.4130 Å; angles 90.00, 90.00, 90.00 degrees
Fractional positions:
Sm  0.0000  0.0000  0.2197
Sm  0.0000  0.0000  0.7803
Zr  0.5000  0.5000  0.5000
Cu  0.5000  0.5000  0.0000

The calculation puts the formation energy from the elements at -0.01 eV/atom. The value obtained for the excess energy over the best structure of this formula in the dataset is 0.000 eV per atom. As for the uncorrected energy: -5.5352 eV/atom.